No. 1
Crystalline SiMo2P at its relaxed geometry. Source: Alexandria via LeMat-Bulk, functional GGA-PBEsol.

## Properties
Formation energy without anion corrections   -0.53 eV per atom
DOS at the Fermi energy   0.51 states/eV/atom
ΔE to the lowest computed polymorph   0.000 eV per atom
V   115.3 Å³/cell

Cell lengths 3.2258, 3.2950, 10.8469 Å; angles 90.00, 90.00, 90.00 degrees
Closest atoms and distances in Å follow each position.
Space group Imm2 (No. 44)
Symmetry-distinct sites (fractional):
Si (0.0000, 0.0000, 0.0000)  6 Mo 2.47-2.51
Mo (0.0000, 0.0000, 0.5804)  2 P 2.43, 4 Si 2.47
Mo (0.0000, 0.5000, 0.8258)  4 P 2.45, 2 Si 2.51
P (0.0000, 0.5000, 0.2486)  6 Mo 2.43-2.45

***

No. 2
Crystalline Tl2POs at its relaxed geometry. Source: Alexandria via LeMat-Bulk, functional GGA-PBEsol.

## Properties
DOS at the Fermi energy   0.48 states/eV/atom
DFT formation energy   9.13 kcal/mol of atoms
ΔE to the lowest computed polymorph   0.004 eV per atom
V   86.8 Å³/cell

Cell lengths 3.1232, 3.6141, 7.8455 Å; angles 90.00, 101.49, 90.00 degrees
Closest atoms and distances in Å follow each position.
Space group Pm (No. 6)
Symmetry-distinct sites (fractional):
Tl (0.0000, 0.0000, 0.0000)  4 Os 2.95, 2 Tl 3.12
Tl (0.3383, 0.5000, 0.6679)  4 Tl 3.12-3.49, 4 P 3.21
P (0.6970, 0.0000, 0.3886)  2 Os 2.20
Os (0.6123, 0.5000, 0.2244)  2 P 2.20

***

No. 3
Crystalline Ni2PbAu at its relaxed geometry. Source: Alexandria via LeMat-Bulk, functional GGA-PBEsol.

## Properties
DOS at the Fermi energy   0.53 states/eV/atom
DFT formation energy   3.11 kcal/mol of atoms
V   119.8 Å³/cell

Cell lengths 5.9630, 5.9759, 3.3610 Å; angles 90.00, 90.00, 90.00 degrees
Closest atoms and distances in Å follow each position.
Space group Cmmm (No. 65)
Symmetry-distinct sites (fractional):
Ni (0.2500, 0.2500, 0.0000)  4 Pb 2.70, 4 Au 2.70, 4 Ni 2.98-2.99
Pb (0.0000, 0.0000, 0.5000)  8 Ni 2.70, 4 Au 2.98-2.99
Au (0.0000, 0.5000, 0.5000)  8 Ni 2.70, 4 Pb 2.98-2.99

***

No. 4
Crystalline CoNi2Cl at its relaxed geometry. Source: Alexandria via LeMat-Bulk, functional GGA-PBEsol.

## Properties
Formation energy without anion corrections   0.63 eV per atom
DOS at the Fermi energy   1.38 states/eV/atom
ΔE to the lowest computed polymorph   0.398 eV per atom
V   188.0 Å³/cell

Cell lengths 5.7287, 5.7287, 5.7287 Å; angles 90.00, 90.00, 90.00 degrees
Closest atoms and distances in Å follow each position.
Space group F-43m (No. 216)
Symmetry-distinct sites (fractional):
Co (0.0000, 0.0000, 0.0000)  4 Cl 2.48, 4 Ni 2.48
Ni (0.0000, 0.0000, 0.5000)  4 Cl 2.48, 4 Ni 2.48
Ni (0.2500, 0.2500, 0.2500)  4 Co 2.48, 4 Ni 2.48
Cl (0.2500, 0.2500, 0.7500)  4 Co 2.48, 4 Ni 2.48

***

No. 5
Crystalline Ag4Se at its relaxed geometry. Source: Alexandria via LeMat-Bulk, functional GGA-PBEsol.

## Properties
Formation energy without anion corrections   0.01 eV per atom
DOS at the Fermi energy   0.11 states/eV/atom
V   173.8 Å³/cell

Cell lengths 6.5589, 6.5589, 4.0410 Å; angles 90.00, 90.00, 90.00 degrees
Closest atoms and distances in Å follow each position.
Space group I4/m (No. 87)
Symmetry-distinct sites (fractional):
Ag (0.0984, 0.6952, 0.0000)  9 Ag 2.86-2.97, 3 Se 2.91-2.93
Se (0.0000, 0.0000, 0.5000)  12 Ag 2.91-2.93

***

No. 6
Crystalline YScCuRe2 at its relaxed geometry. Source: Alexandria via LeMat-Bulk, functional GGA-PBEsol.

## Properties
DOS at the Fermi energy   1.08 states/eV/atom
DFT formation energy   46.40 kcal/mol of atoms
V   104.6 Å³/cell

Cell lengths 4.5642, 4.5642, 5.0222 Å; angles 90.00, 90.00, 90.00 degrees
Closest atoms and distances in Å follow each position.
Space group P4/mmm (No. 123)
Symmetry-distinct sites (fractional):
Y (0.0000, 0.0000, 0.0000)  2 Sc 2.51
Sc (0.0000, 0.0000, 0.5000)  4 Re 2.28, 2 Y 2.51
Cu (0.5000, 0.5000, 0.0000)  4 Y 3.23, 8 Re 3.39
Re (0.0000, 0.5000, 0.5000)  2 Sc 2.28

***

No. 7
Crystalline LaTl2 at its relaxed geometry. Source: Alexandria via LeMat-Bulk, functional GGA-PBEsol.

## Properties
DOS at the Fermi energy   0.88 states/eV/atom
DFT formation energy   -8.35 kcal/mol of atoms
V   84.4 Å³/cell

Cell lengths 5.1728, 5.1728, 3.6401 Å; angles 90.00, 90.00, 120.00 degrees
Closest atoms and distances in Å follow each position.
Space group P6/mmm (No. 191)
Symmetry-distinct sites (fractional):
La (0.0000, 0.0000, 0.0000)  12 Tl 3.50, 2 La 3.64
Tl (0.3333, 0.6667, 0.5000)  3 Tl 2.99

***

No. 8
Crystalline TlCdPb2 at its relaxed geometry. Source: Alexandria via LeMat-Bulk, functional GGA-PBEsol.

## Properties
DOS at the Fermi energy   0.41 states/eV/atom
DFT formation energy   1.66 kcal/mol of atoms
ΔE to the lowest computed polymorph   0.045 eV per atom
V   439.8 Å³/cell

Cell lengths 7.6049, 7.6049, 7.6049 Å; angles 90.00, 90.00, 90.00 degrees
Closest atoms and distances in Å follow each position.
Space group Fm-3m (No. 225)
Symmetry-distinct sites (fractional):
Tl (0.0000, 0.0000, 0.0000)  8 Pb 3.29
Cd (0.0000, 0.0000, 0.5000)  8 Pb 3.29
Pb (0.2500, 0.2500, 0.2500)  4 Cd 3.29, 4 Tl 3.29

***

No. 9
Crystalline Ta2CuSe at its relaxed geometry. Source: Alexandria via LeMat-Bulk, functional GGA-PBEsol.

## Properties
Formation energy without anion corrections   0.10 eV per atom
DOS at the Fermi energy   0.60 states/eV/atom
V   126.8 Å³/cell

Cell lengths 3.3015, 4.5877, 8.3700 Å; angles 90.00, 90.00, 90.00 degrees
Closest atoms and distances in Å follow each position.
Space group Immm (No. 71)
Symmetry-distinct sites (fractional):
Ta (0.0000, 0.0000, 0.2427)  2 Se 2.62, 2 Cu 2.71, 4 Ta 2.83
Cu (0.0000, 0.5000, 0.0000)  4 Ta 2.71, 4 Se 2.83
Se (0.0000, 0.5000, 0.5000)  4 Ta 2.62, 4 Cu 2.83

***

No. 10
Crystalline AsPtPb2 at its relaxed geometry. Source: Alexandria via LeMat-Bulk, functional GGA-PBEsol.

## Properties
DOS at the Fermi energy   0.60 states/eV/atom
DFT formation energy   3.80 kcal/mol of atoms
V   176.2 Å³/cell

Cell lengths 4.7705, 4.7705, 7.7433 Å; angles 90.00, 90.00, 90.00 degrees
Closest atoms and distances in Å follow each position.
Space group I4/mmm (No. 139)
Symmetry-distinct sites (fractional):
As (0.0000, 0.0000, 0.0000)  8 Pb 3.07, 4 Pt 3.37
Pt (0.0000, 0.0000, 0.5000)  8 Pb 3.07, 4 As 3.37
Pb (0.0000, 0.5000, 0.2500)  4 As 3.07, 4 Pt 3.07, 4 Pb 3.37

***

No. 11
Crystalline Li8TiMn3O12 at its relaxed geometry. Source: Alexandria via LeMat-Bulk, functional GGA-PBEsol.

## Properties
Formation energy without anion corrections   -2.09 eV per atom
V   196.1 Å³/cell

Cell lengths 4.8488, 8.2891, 4.8800 Å; angles 90.00, 90.06, 90.00 degrees
Closest atoms and distances in Å follow each position.
Space group P2 (No. 3)
Symmetry-distinct sites (fractional):
Li (0.0000, 0.0000, 0.0000)  6 O 2.05-2.10
Li (0.0000, 0.0214, 0.5000)  6 O 2.04-2.13
Li (0.0000, 0.3301, 0.5000)  6 O 2.02-2.10
Li (0.0000, 0.6910, 0.0000)  6 O 2.04-2.11
Li (0.5000, 0.1849, 0.5000)  6 O 2.00-2.10
Li (0.5000, 0.4960, 0.5000)  6 O 2.10-2.15
Li (0.5000, 0.5245, 0.0000)  6 O 2.07-2.12
Li (0.5000, 0.8390, 0.0000)  6 O 2.02-2.07
Ti (0.0000, 0.6689, 0.5000)  6 O 1.94-1.98
Mn (0.0000, 0.3475, 0.0000)  6 O 1.90-1.91
Mn (0.5000, 0.1712, 0.0000)  6 O 1.89-1.94
Mn (0.5000, 0.8541, 0.5000)  6 O 1.89-1.93
O (0.1393, 0.5080, 0.7564)  1 Mn 1.91, 1 Ti 1.95, 3 Li 2.04-2.12
O (0.1757, 0.1860, 0.7860)  2 Mn 1.89-1.90, 3 Li 2.02-2.10
O (0.1803, 0.8399, 0.7184)  1 Mn 1.89, 1 Ti 1.98, 4 Li 2.04-2.10
O (0.3256, 0.3349, 0.2153)  2 Mn 1.90-1.91, 4 Li 2.05-2.10
O (0.3319, 0.6897, 0.2798)  1 Mn 1.92, 1 Ti 1.94, 4 Li 2.02-2.11
O (0.3498, 0.0136, 0.2517)  2 Mn 1.93-1.94, 4 Li 2.00-2.10

***

No. 12
Crystalline Li2CaPb at its relaxed geometry. Source: Alexandria via LeMat-Bulk, functional GGA-PBEsol.

## Properties
DOS at the Fermi energy   0.19 states/eV/atom
DFT formation energy   -9.07 kcal/mol of atoms
V   373.0 Å³/cell

Cell lengths 7.1982, 7.1982, 7.1982 Å; angles 90.00, 90.00, 90.00 degrees
Closest atoms and distances in Å follow each position.
Space group F-43m (No. 216)
Symmetry-distinct sites (fractional):
Li (0.0000, 0.0000, 0.0000)  4 Pb 3.12, 4 Li 3.12
Li (0.2500, 0.2500, 0.2500)  4 Li 3.12, 4 Ca 3.12
Ca (0.0000, 0.0000, 0.5000)  4 Li 3.12, 4 Pb 3.12
Pb (0.2500, 0.2500, 0.7500)  4 Ca 3.12, 4 Li 3.12